Entry 1:
A plane-wave DFT calculation with SCAN was carried out for K2TaCd at its PBEsol-relaxed geometry.

- energy (eV/atom) = -27.54
- ΔE_f (eV/atom) = 0.872
- SG = Cm
- M_tot (Bohr magnetons per cell) = 0.00

abc: 5.059 5.059 9.713
angles: 91.83 91.83 33.10
Fractional coordinates of all 4 atoms:
K  0.000  0.000  0.000
K  0.238  0.238  0.603
Ta  0.481  0.481  0.347
Cd  0.744  0.744  0.242

Entry 2:
A plane-wave DFT calculation with SCAN was carried out for RbPdNF2 at its PBEsol-relaxed geometry.

- energy (eV/atom) = -15.00
- SG = P4/mmm
- M_tot (Bohr magnetons per cell) = 0.00
- uncorrected formation energy (eV/f.u.) = -5.13

abc: 4.548 4.548 3.641
angles: 90.00 90.00 90.00
Fractional coordinates of all 5 atoms:
Rb  0.000  0.000  0.000
Pd  0.500  0.500  0.500
N  0.500  0.500  0.000
F  0.000  0.500  0.500
F  0.500  0.000  0.500

Entry 3:
A plane-wave DFT calculation with SCAN was carried out for ZrMoPd2 at its PBEsol-relaxed geometry.

- energy (eV/atom) = -32.88
- ΔE_f (eV/atom) = -0.093
- SG = Fm-3m
- M_tot (Bohr magnetons per cell) = 2.82

abc: 4.537 4.537 4.537
angles: 60.00 60.00 60.00
Fractional coordinates of all 4 atoms:
Zr  0.000  0.000  0.000
Mo  0.500  0.500  0.500
Pd  0.250  0.250  0.250
Pd  0.750  0.750  0.750

Entry 4:
A plane-wave DFT calculation with SCAN was carried out for CuHgIr3 at its PBEsol-relaxed geometry.

- energy (eV/atom) = -56.42
- ΔE_f (eV/atom) = 2.917
- SG = Pm-3m
- M_tot (Bohr magnetons per cell) = 3.13

abc: 4.854 4.854 4.854
angles: 90.00 90.00 90.00
Fractional coordinates of all 5 atoms:
Cu  0.000  0.000  0.000
Hg  0.500  0.500  0.500
Ir  0.000  0.500  0.500
Ir  0.500  0.000  0.500
Ir  0.500  0.500  0.000

Entry 5:
A plane-wave DFT calculation with SCAN was carried out for La2CdAg2 at its PBEsol-relaxed geometry.

- energy (eV/atom) = -36.05
- ΔE_f (eV/atom) = -0.182
- SG = I4/mmm
- M_tot (Bohr magnetons per cell) = 0.00

abc: 9.586 9.586 9.586
angles: 157.18 157.18 32.49
Fractional coordinates of all 5 atoms:
La  0.109  0.109  0.000
La  0.891  0.891  0.000
Cd  0.500  0.500  0.000
Ag  0.250  0.750  0.500
Ag  0.750  0.250  0.500

Entry 6:
A plane-wave DFT calculation with SCAN was carried out for Y2Mg3Cu at its PBEsol-relaxed geometry.

- energy (eV/atom) = -14.41
- ΔE_f (eV/atom) = -0.105
- SG = R-3m
- M_tot (Bohr magnetons per cell) = 0.00
- E above lowest polymorph (meV per atom) = 0

abc: 5.705 5.705 5.705
angles: 61.23 61.23 61.23
Fractional coordinates of all 6 atoms:
Y  0.126  0.126  0.126
Y  0.874  0.874  0.874
Mg  0.000  0.500  0.500
Mg  0.500  0.000  0.500
Mg  0.500  0.500  0.000
Cu  0.500  0.500  0.500

Entry 7:
A plane-wave DFT calculation with SCAN was carried out for Cr2N at its PBEsol-relaxed geometry.

- energy (eV/atom) = -15.76
- SG = P-31m
- M_tot (Bohr magnetons per cell) = 0.00
- uncorrected formation energy (eV/f.u.) = -1.22

abc: 4.722 4.722 4.356
angles: 90.00 90.00 120.00
Fractional coordinates of all 9 atoms:
Cr  0.000  0.326  0.246
Cr  0.000  0.674  0.754
Cr  0.326  0.000  0.246
Cr  0.326  0.326  0.754
Cr  0.674  0.000  0.754
Cr  0.674  0.674  0.246
N  0.000  0.000  0.500
N  0.333  0.667  0.000
N  0.667  0.333  0.000

Entry 8:
A plane-wave DFT calculation with SCAN was carried out for CaYRu at its PBEsol-relaxed geometry.

- energy (eV/atom) = -24.25
- ΔE_f (eV/atom) = -0.139
- SG = I4mm
- M_tot (Bohr magnetons per cell) = 0.00

abc: 6.807 6.807 6.807
angles: 151.07 151.07 41.37
Fractional coordinates of all 3 atoms:
Ca  0.000  0.000  0.000
Y  0.745  0.745  0.000
Ru  0.359  0.359  0.000